No. 1
GdInNO | GGA-PBE | relaxed

The structure belongs to space group P4/nmm (No. 129, origin choice 2); the cell edges are 4.0390, 4.0390 and 7.9834 Å and the angles 90.00°, 90.00° and 90.00°. The distinct sites, in fractional coordinates, are Gd at (0.2500, 0.2500, 0.1303), In at (0.2500, 0.7500, 0.5000), N at (0.2500, 0.2500, 0.6563) and O at (0.2500, 0.7500, 0.0000).

The value obtained for the calculated total energy is -6.31 eV/atom. The crystal system is tetragonal.

***

No. 2
ZrGaCu2S4 | GGA-PBE | relaxed

The structure belongs to space group I-4 (No. 82); the cell edges are 5.4170, 5.4170 and 11.1895 Å and the angles 90.00°, 90.00° and 90.00°. The distinct sites, in fractional coordinates, are Zr at (0.0000, 0.0000, 0.0000), Ga at (0.0000, 0.5000, 0.2500), Cu at (0.0000, 0.0000, 0.5000), Cu at (0.0000, 0.5000, 0.7500) and S at (0.2348, 0.2429, 0.6285).

The value obtained for the calculated total energy is -5.11 eV/atom. The crystal system is tetragonal.

***

No. 3
WN | GGA-PBE | relaxed

The structure belongs to space group P6_3/mmc (No. 194); the cell edges are 2.8487, 2.8487 and 5.8041 Å and the angles 90.00°, 90.00° and 120.00°. The distinct sites, in fractional coordinates, are W at (0.0000, 0.0000, 0.0000) and N at (0.3333, 0.6667, 0.2500).

The value obtained for the calculated total energy is -10.81 eV/atom. The crystal system is hexagonal.

***

No. 4
Tb3Ag2Hg3Pd | GGA-PBE | relaxed

The structure belongs to space group P-62m (No. 189); the cell edges are 7.8714, 7.8714 and 3.7911 Å and the angles 90.00°, 90.00° and 120.00°. The distinct sites, in fractional coordinates, are Tb at (0.0000, 0.6166, 0.0000), Ag at (0.3333, 0.6667, 0.5000), Hg at (0.0000, 0.2735, 0.5000) and Pd at (0.0000, 0.0000, 0.0000).

The value obtained for the calculated total energy is -3.30 eV/atom. The crystal system is hexagonal.

***

No. 5
Gd3HoC2S2 | GGA-PBE | relaxed

The structure belongs to space group P3m1 (No. 156); the cell edges are 3.7341, 3.7341 and 13.0282 Å and the angles 90.00°, 90.00° and 120.00°. The distinct sites, in fractional coordinates, are Gd at (0.0000, 0.0000, 0.0000), Gd at (0.0000, 0.0000, 0.2922), Gd at (0.3333, 0.6667, 0.7888), Ho at (0.3333, 0.6667, 0.4994), C at (0.6667, 0.3333, 0.3972), C at (0.6667, 0.3333, 0.8940), S at (0.0000, 0.0000, 0.6413) and S at (0.3333, 0.6667, 0.1453).

The value obtained for the calculated total energy is -6.88 eV/atom. The crystal system is trigonal.

***

No. 6
GdTmCuTe3 | GGA-PBE | relaxed

The structure belongs to space group Cmcm (No. 63); the cell edges are 4.0970, 14.2293 and 11.1926 Å and the angles 90.00°, 90.00° and 90.00°. The distinct sites, in fractional coordinates, are Gd at (0.0000, 0.0000, 0.0000), Tm at (0.0000, 0.2261, 0.2500), Cu at (0.0000, 0.4712, 0.7500), Te at (0.0000, 0.0996, 0.7500) and Te at (0.0000, 0.3488, 0.5718).

The value obtained for the calculated total energy is -4.69 eV/atom. The crystal system is orthorhombic.

***

No. 7
UCuNi4 | GGA-PBE | relaxed

The structure belongs to space group F-43m (No. 216); the cell edges are 6.7884, 6.7884 and 6.7884 Å and the angles 90.00°, 90.00° and 90.00°. The distinct sites, in fractional coordinates, are U at (0.0000, 0.0000, 0.0000), Cu at (0.2500, 0.2500, 0.7500) and Ni at (0.1239, 0.1239, 0.3761).

The value obtained for the calculated total energy is -6.45 eV/atom. The crystal system is cubic.

***

No. 8
CdFeHgGe | GGA-PBE | relaxed

The structure belongs to space group F-43m (No. 216); the cell edges are 6.7332, 6.7332 and 6.7332 Å and the angles 90.00°, 90.00° and 90.00°. The distinct sites, in fractional coordinates, are Cd at (0.0000, 0.0000, 0.0000), Fe at (0.2500, 0.2500, 0.7500), Hg at (0.2500, 0.2500, 0.2500) and Ge at (0.0000, 0.0000, 0.5000).

The value obtained for the calculated total energy is -3.03 eV/atom. The crystal system is cubic.

***

No. 9
YAl2Fe | GGA-PBE | relaxed

The structure belongs to space group F-43m (No. 216); the cell edges are 6.4456, 6.4456 and 6.4456 Å and the angles 90.00°, 90.00° and 90.00°. The distinct sites, in fractional coordinates, are Y at (0.0000, 0.0000, 0.0000), Al at (0.0000, 0.0000, 0.5000), Al at (0.2500, 0.2500, 0.7500) and Fe at (0.2500, 0.2500, 0.2500).

The value obtained for the calculated total energy is -5.63 eV/atom. The crystal system is cubic.

***

No. 10
PrN2 | GGA-PBE | relaxed

The structure belongs to space group Fd-3m (No. 227, origin choice 2); the cell edges are 6.6684, 6.6684 and 6.6684 Å and the angles 90.00°, 90.00° and 90.00°. The distinct sites, in fractional coordinates, are Pr at (0.1250, 0.1250, 0.1250) and N at (0.0000, 0.0000, 0.5000).

The value obtained for the calculated total energy is -5.95 eV/atom. The crystal system is cubic.

***

No. 11
PrAgPbSe3 | GGA-PBE | relaxed

The structure belongs to space group Pnma (No. 62); the cell edges are 8.6410, 4.3926 and 16.9363 Å and the angles 90.00°, 90.00° and 90.00°. The distinct sites, in fractional coordinates, are Pr at (0.2386, 0.2500, 0.0344), Ag at (0.1176, 0.2500, 0.3665), Pb at (0.0797, 0.2500, 0.7665), Se at (0.0320, 0.2500, 0.5885), Se at (0.1099, 0.7500, 0.9363) and Se at (0.1932, 0.2500, 0.2125).

The value obtained for the calculated total energy is -4.59 eV/atom. The crystal system is orthorhombic.

***

No. 12
CuSiBiOs | GGA-PBE | relaxed

The structure belongs to space group F-43m (No. 216); the cell edges are 6.4449, 6.4449 and 6.4449 Å and the angles 90.00°, 90.00° and 90.00°. The distinct sites, in fractional coordinates, are Cu at (0.0000, 0.0000, 0.0000), Si at (0.2500, 0.2500, 0.2500), Bi at (0.2500, 0.2500, 0.7500) and Os at (0.0000, 0.0000, 0.5000).

The value obtained for the calculated total energy is -5.47 eV/atom. The crystal system is cubic.

***

Copy entry 9 word for word.
YAl2Fe | GGA-PBE | relaxed

The structure belongs to space group F-43m (No. 216); the cell edges are 6.4456, 6.4456 and 6.4456 Å and the angles 90.00°, 90.00° and 90.00°. The distinct sites, in fractional coordinates, are Y at (0.0000, 0.0000, 0.0000), Al at (0.0000, 0.0000, 0.5000), Al at (0.2500, 0.2500, 0.7500) and Fe at (0.2500, 0.2500, 0.2500).

The value obtained for the calculated total energy is -5.63 eV/atom. The crystal system is cubic.